# 1
TbTmAgRh after structural relaxation, computed with PBE.

Summary:
* SG: No. 99
* volume: 21.8 Å³ per atom
* DFT formation energy: -0.61 eV/atom
* crystal system: tetragonal

Lattice parameters (Å, degrees): 3.4878 3.4878 7.1683 90.00 90.00 90.00
Atoms (fractional coordinates):
Tb  0.0000  0.0000  0.0000
Tm  0.0000  0.0000  0.5421
Ag  0.5000  0.5000  0.2804
Rh  0.5000  0.5000  0.7646

=====

# 2
TbTmAgRh after structural relaxation, computed with PBE.

Summary:
* SG: No. 216
* volume: 21.6 Å³ per atom
* DFT formation energy: -0.59 eV/atom
* crystal system: cubic

Lattice parameters (Å, degrees): 4.9658 4.9658 4.9658 60.00 60.00 60.00
Atoms (fractional coordinates):
Tb  0.0000  0.0000  0.0000
Tm  0.5000  0.5000  0.5000
Ag  0.7500  0.7500  0.7500
Rh  0.2500  0.2500  0.2500

=====

# 3
Tb2Zn5AgRh2 after structural relaxation, computed with PBE.

Summary:
* SG: No. 127
* volume: 18.2 Å³ per atom
* DFT formation energy: -0.40 eV/atom
* crystal system: tetragonal

Lattice parameters (Å, degrees): 9.4659 9.4659 4.0540 90.00 90.00 90.00
Atoms (fractional coordinates):
Tb  0.1782  0.3218  0.0000
Tb  0.3218  0.8218  0.0000
Tb  0.6782  0.1782  0.0000
Tb  0.8218  0.6782  0.0000
Zn  0.0000  0.5000  0.5000
Zn  0.0580  0.7959  0.5000
Zn  0.2041  0.0580  0.5000
Zn  0.2959  0.5580  0.5000
Zn  0.4420  0.2959  0.5000
Zn  0.5000  0.0000  0.5000
Zn  0.5580  0.7041  0.5000
Zn  0.7041  0.4420  0.5000
Zn  0.7959  0.9420  0.5000
Zn  0.9420  0.2041  0.5000
Ag  0.0000  0.0000  0.0000
Ag  0.5000  0.5000  0.0000
Rh  0.1200  0.6200  0.0000
Rh  0.3800  0.1200  0.0000
Rh  0.6200  0.8800  0.0000
Rh  0.8800  0.3800  0.0000

=====

# 4
TbZrAgRh after structural relaxation, computed with PBE.

Summary:
* SG: No. 216
* volume: 20.6 Å³ per atom
* DFT formation energy: -0.40 eV/atom
* crystal system: cubic

Lattice parameters (Å, degrees): 4.8829 4.8829 4.8829 60.00 60.00 60.00
Atoms (fractional coordinates):
Tb  0.0000  0.0000  0.0000
Zr  0.5000  0.5000  0.5000
Ag  0.2500  0.2500  0.2500
Rh  0.7500  0.7500  0.7500

=====

# 5
Tc2AgRh after structural relaxation, computed with PBE.

Summary:
* SG: No. 44
* volume: 15.8 Å³ per atom
* DFT formation energy: 0.42 eV/atom
* crystal system: orthorhombic

Lattice parameters (Å, degrees): 5.3090 5.3090 5.3090 147.10 128.05 62.87
Atoms (fractional coordinates):
Tc  0.0000  0.0000  0.0000
Tc  0.7976  0.2976  0.5000
Ag  0.2758  0.7758  0.5000
Rh  0.5559  0.5559  0.0000

=====

# 6
Tc2AgRh after structural relaxation, computed with PBE.

Summary:
* SG: No. 10
* volume: 15.0 Å³ per atom
* DFT formation energy: 0.37 eV/atom
* crystal system: monoclinic

Lattice parameters (Å, degrees): 4.7363 2.7522 4.8759 90.00 108.95 90.00
Atoms (fractional coordinates):
Tc  0.0000  0.0000  0.0000
Tc  0.5000  0.5000  0.0000
Ag  0.0000  0.5000  0.5000
Rh  0.5000  0.0000  0.5000

=====

| no. | total moment (Bohr magnetons per cell) | total energy (eV/atom) | density (g/cm3) |
| --- | --- | --- | --- |
| 1 | 0.0 | -5.436 | 10.26 |
| 2 | 0.0 | -5.415 | 10.33 |
| 3 | 0.0 | -3.720 | 8.76 |
| 4 | 0.0 | -6.245 | 9.30 |
| 5 | 0.0 | -7.310 | 10.66 |
| 6 | 0.0 | -7.367 | 11.24 |